Be2RePd (SCAN, PBEsol geometry); total magnetization = 0.00 μB/f.u.; distance to the lowest polymorph of the same formula = 0.350 eV/atom; space group = I-42d, No. 122
1.0
4.9992 -0.0136 0.0000
-2.1797 4.4991 0.0000
-1.4098 -2.2427 4.2397
Re Pd Be
2 2 4
Direct
0.0000 0.0000 0.0000 Re
0.2500 0.7500 0.5000 Re
0.5000 0.5000 0.0000 Pd
0.7500 0.2500 0.5000 Pd
0.8625 0.8750 0.4875 Be
0.3875 0.3750 0.5125 Be
0.1250 0.6125 0.9875 Be
0.6250 0.1375 0.0125 Be



TiAl6Mo (SCAN, PBEsol geometry); raw total energy = -12.5699 eV per atom; total magnetization = 0.02 μB/f.u.; space group = P4/mmm, No. 123
1.0
3.7832 0.0000 0.0000
0.0000 3.7832 0.0000
0.0000 0.0000 8.4181
Mo Al Ti
1 6 1
Direct
0.0000 0.0000 0.0000 Mo
0.5000 0.5000 0.0000 Al
0.0000 0.0000 0.5000 Al
0.0000 0.5000 0.2514 Al
0.5000 0.0000 0.7486 Al
0.5000 0.0000 0.2514 Al
0.0000 0.5000 0.7486 Al
0.5000 0.5000 0.5000 Ti



Cd2InHg (SCAN, PBEsol geometry); total magnetization = 0.00 μB/f.u.; distance to the lowest polymorph of the same formula = 0.019 eV/atom; space group = Pmmm, No. 47
1.0
3.3306 0.0000 -0.5029
0.0000 4.3549 0.0000
-2.4195 0.0000 6.5028
In Hg Cd
1 1 2
Direct
0.0000 0.5000 0.5000 In
0.5000 0.5000 0.0000 Hg
0.7528 0.0000 0.7539 Cd
0.2472 0.0000 0.2461 Cd



BeRe2Se (SCAN, PBEsol geometry); ΔE_f (raw) = 525 meV per atom; total magnetization = 0.00 μB/f.u.; space group = Fm-3m, No. 225
1.0
4.1765 0.0000 0.0000
2.0882 3.6169 0.0000
2.0882 1.2056 3.4101
Re Se Be
2 1 1
Direct
0.2500 0.2500 0.2500 Re
0.7500 0.7500 0.7500 Re
0.5000 0.5000 0.5000 Se
0.0000 0.0000 0.0000 Be



Sc2MnCo (SCAN, PBEsol geometry); raw total energy = -16.1595 eV per atom; total magnetization = 3.50 μB/f.u.; space group = P4/mmm, No. 123
1.0
-1.1755 -2.0185 1.9978
4.0924 -1.1134 1.2830
-0.1188 3.1506 3.1133
Co Mn Sc
1 1 2
Direct
0.5000 0.5000 0.5000 Co
0.5000 0.0000 0.0000 Mn
0.0000 0.0000 0.5000 Sc
0.0000 0.5000 0.0000 Sc



KAlHg2 (SCAN, PBEsol geometry); total magnetization = 0.00 μB/f.u.; distance to the lowest polymorph of the same formula = 0.190 eV/atom; space group = Imm2, No. 44
1.0
-0.3057 1.7799 3.0748
-4.9936 -1.7758 0.5315
4.4447 -4.2589 0.8395
K Hg Al
1 2 1
Direct
0.5069 0.5069 0.0137 K
0.9841 0.9841 0.9683 Hg
0.7248 0.2248 0.4496 Hg
0.2842 0.7842 0.5684 Al



SiNi (SCAN, PBEsol geometry); ΔE_f (raw) = 52 meV per atom; total magnetization = 0.07 μB/f.u.; space group = Fd-3m, No. 227
1.0
4.0161 0.0000 0.0000
2.0080 3.4780 0.0000
2.0080 1.1593 3.2791
Ni Si
2 2
Direct
0.5000 0.5000 0.5000 Ni
0.7500 0.7500 0.7500 Ni
0.0000 0.0000 0.0000 Si
0.2500 0.2500 0.2500 Si



TaZnI2N (SCAN, PBEsol geometry); ΔE_f (raw) = 153 meV per atom; total magnetization = 0.00 μB/f.u.; distance to the lowest polymorph of the same formula = 0.000 eV/atom; space group = P4/mmm, No. 123
1.0
-3.1243 1.8948 1.3448
-2.4217 -4.8933 1.2681
2.3072 0.1811 5.1050
I Zn N Ta
2 1 1 1
Direct
0.0000 0.0000 0.5000 I
0.0000 0.5000 0.0000 I
0.5000 0.5000 0.5000 Zn
0.5000 0.0000 0.0000 N
0.0000 0.0000 0.0000 Ta



LiMgZr2 (SCAN, PBEsol geometry); raw total energy = -17.0188 eV per atom; total magnetization = 0.07 μB/f.u.; space group = Cmmm, No. 65
1.0
-0.5353 -1.2666 -2.5705
2.5667 -0.6219 1.2345
-4.5872 -8.6122 5.1991
Li Mg Zr
1 1 2
Direct
0.5000 0.5000 0.5000 Li
0.5000 0.5000 0.0000 Mg
0.0000 0.0000 0.2467 Zr
0.0000 0.0000 0.7533 Zr



TiSiPt (SCAN, PBEsol geometry); ΔE_f (raw) = -1182 meV per atom; total magnetization = 0.00 μB/f.u.; space group = Pnma, No. 62
1.0
3.7750 0.0000 0.0000
0.0000 6.2955 0.0000
0.0000 0.0000 7.3213
Si Pt Ti
4 4 4
Direct
0.2500 0.2565 0.3757 Si
0.2500 0.7565 0.1243 Si
0.7500 0.2435 0.8757 Si
0.7500 0.7435 0.6243 Si
0.2500 0.6479 0.4357 Pt
0.2500 0.1479 0.0643 Pt
0.7500 0.8521 0.9357 Pt
0.7500 0.3521 0.5643 Pt
0.7500 0.9721 0.3249 Ti
0.7500 0.4721 0.1751 Ti
0.2500 0.5279 0.8249 Ti
0.2500 0.0279 0.6751 Ti



HfZr3Ga (SCAN, PBEsol geometry); raw total energy = -33.2043 eV per atom; total magnetization = 0.00 μB/f.u.; space group = Pm-3m, No. 221
1.0
-0.5795 1.3907 4.8041
-2.2674 -4.3837 0.9955
4.4578 -2.0490 1.1309
Hf Ga Zr
1 1 3
Direct
0.0000 0.0000 0.0000 Hf
0.5000 0.5000 0.5000 Ga
0.0000 0.5000 0.0000 Zr
0.0000 0.0000 0.5000 Zr
0.5000 0.0000 0.0000 Zr



CdInHg2 (SCAN, PBEsol geometry); raw total energy = -50.0422 eV per atom; total magnetization = 0.00 μB/f.u.; space group = C2/m, No. 12
1.0
-2.4092 0.8079 2.4630
0.6554 -4.8618 -0.3064
4.2492 1.4616 3.6769
In Hg Cd
1 2 1
Direct
0.0000 0.0000 0.5000 In
0.7522 0.5045 0.7593 Hg
0.2478 0.4955 0.2407 Hg
0.5000 0.0000 0.0000 Cd



Zn2RePb (SCAN, PBEsol geometry); raw total energy = -42.8048 eV per atom; total magnetization = 0.00 μB/f.u.; space group = Cmmm, No. 65
1.0
2.9521 0.0000 0.0000
0.0000 4.9171 0.0174
0.0000 -1.7821 4.5828
Pb Re Zn
1 1 2
Direct
0.5000 0.0000 0.0000 Pb
0.5000 0.5000 0.5000 Re
0.0000 0.5000 0.0000 Zn
0.0000 0.0000 0.5000 Zn



Cd7P10 (SCAN, PBEsol geometry); raw total energy = -18.7731 eV per atom; total magnetization = 0.00 μB/f.u.; space group = Fdd2, No. 43
1.0
4.5948 0.0000 0.0000
2.2974 11.4483 0.0000
2.2974 0.0000 13.6716
Cd P
14 20
Direct
0.0779 0.5057 0.9040 Cd
0.4876 0.4943 0.0960 Cd
0.3336 0.9943 0.4040 Cd
0.7319 0.0057 0.5960 Cd
0.4258 0.7627 0.8349 Cd
0.0234 0.2373 0.1651 Cd
0.9385 0.7373 0.3349 Cd
0.0107 0.2627 0.6651 Cd
0.1729 0.7669 0.5763 Cd
0.5161 0.2331 0.4237 Cd
0.6899 0.7331 0.0763 Cd
0.4992 0.2669 0.9237 Cd
0.7549 0.5000 0.5000 Cd
0.0049 0.0000 0.0000 Cd
0.7466 0.9152 0.8738 P
0.5356 0.0848 0.1262 P
0.4118 0.5848 0.3738 P
0.3704 0.4152 0.6262 P
0.0708 0.9109 0.7385 P
0.7202 0.0891 0.2615 P
0.7317 0.5891 0.2385 P
0.5593 0.4109 0.7615 P
0.2264 0.6669 0.9968 P
0.8901 0.3331 0.0032 P
0.6433 0.8331 0.4968 P
0.9732 0.1669 0.5032 P
0.7520 0.5684 0.7698 P
0.0903 0.4316 0.2302 P
0.4001 0.0739 0.8721 P
0.3461 0.9261 0.1279 P
0.2240 0.4261 0.3721 P
0.0222 0.5739 0.6279 P
0.2718 0.0684 0.7302 P
0.0704 0.9316 0.2698 P